First-principles (GGA-PBE) data for a relaxed structure of NbCoIr, as listed in Alexandria.

a b c (Å): 4.2742 4.2742 5.3833
angles (deg): 90.00 90.00 120.00
Space group P6_3/mmc (No. 194)
Unique sites:
Nb1 0.3333 0.6667 0.2500
Co1 0.3333 0.6667 0.7500
Ir1 0.0000 0.0000 0.0000

Properties
The value obtained for the formation energy is -0.39 eV per atom.

---

First-principles (GGA-PBE) data for a relaxed structure of Dy2GaTe, as listed in Alexandria.

a b c (Å): 4.1013 4.1013 22.6430
angles (deg): 90.00 90.00 120.00
Space group R-3m (No. 166, hexagonal axes)
Unique sites:
Dy1 0.0000 0.0000 0.2450
Ga1 0.0000 0.0000 0.5000
Te1 0.0000 0.0000 0.0000

Properties
For the polymorph energy (0 for the lowest one), the calculation gives 74 meV/atom. The calculation puts the uncorrected formation energy at -0.935 eV per atom.

---

First-principles (GGA-PBE) data for a relaxed structure of Fe2TcPt, as listed in Alexandria.

a b c (Å): 5.466 5.466 9.665
angles (deg): 90.00 90.00 90.00
Space group I-42d (No. 122)
Unique sites:
Fe1 0.241 0.250 0.125
Tc1 0.000 0.000 0.000
Pt1 0.000 0.000 0.500

Properties
The value obtained for the formation energy is 1.07 eV per atom. For the polymorph energy (0 for the lowest one), the calculation gives 1121 meV/atom.